Record 1
DFT (PBE) results for an optimized crystal structure of Rb3Cd3In2.

abc: 10.070 17.159 7.268
angles: 90.00 90.00 90.00
Space group Pnma (No. 62)
Symmetry-distinct sites (fractional):
Rb  0.044  0.111  0.112
Rb  0.206  0.250  0.592
Cd  0.144  0.750  0.558
Cd  0.189  0.034  0.655
In  0.093  0.590  0.397

- E: -1.46 eV per atom
- Excess energy over the best structure of this formula in the dataset: 0 meV per atom


Record 2
DFT (PBE) results for an optimized crystal structure of Rb2Cd12In7.

abc: 11.4788 11.4788 5.1631
angles: 90.00 90.00 120.00
Space group P-3 (No. 147)
Symmetry-distinct sites (fractional):
Rb  0.3333  0.6667  0.2212
Cd  0.0448  0.4368  0.7878
Cd  0.1267  0.8717  0.1761
In  0.0000  0.0000  0.5000
In  0.1161  0.7224  0.6821

- E: -1.55 eV per atom


Record 3
DFT (PBE) results for an optimized crystal structure of Rb3Cd4In.

abc: 6.735 7.984 11.418
angles: 90.00 90.00 90.00
Space group Imm2 (No. 44)
Symmetry-distinct sites (fractional):
Rb  0.000  0.000  0.000
Rb  0.000  0.245  0.655
Cd  0.000  0.307  0.322
Cd  0.234  0.000  0.394
In  0.000  0.500  0.099

- E: -1.20 eV per atom


Record 4
DFT (PBE) results for an optimized crystal structure of RbCd3In.

abc: 6.452 6.452 6.452
angles: 90.00 90.00 90.00
Space group Pm-3m (No. 221)
Symmetry-distinct sites (fractional):
Rb  0.000  0.000  0.000
Cd  0.000  0.000  0.500
In  0.500  0.500  0.500

- E: -0.60 eV per atom
- Excess energy over the best structure of this formula in the dataset: 713 meV per atom


Record 5
DFT (PBE) results for an optimized crystal structure of RbCdIn2.

abc: 4.9589 4.9589 20.8330
angles: 90.00 90.00 120.00
Space group R-3m (No. 166, hexagonal axes)
Symmetry-distinct sites (fractional):
Rb  0.0000  0.0000  0.0000
Cd  0.0000  0.0000  0.5000
In  0.0000  0.0000  0.2099

- E: -1.89 eV per atom


Record 6
DFT (PBE) results for an optimized crystal structure of Rb3Cd6In.

abc: 13.142 7.087 7.834
angles: 90.00 111.58 90.00
Space group C2/m (No. 12)
Symmetry-distinct sites (fractional):
Rb  0.000  0.000  0.000
Rb  0.008  0.500  0.265
Cd  0.212  0.000  0.434
Cd  0.232  0.210  0.804
In  0.000  0.000  0.500

- E: -1.12 eV per atom


The records above give, respectively, D(E_F) values of 4.10, 8.46, 4.72, 7.03, 2.48, 5.73 states/eV/f.u..
The records above give, respectively, calculated formation energy values of -0.0664, -0.0198, -0.0414, 0.6926, -0.0469, -0.0038 eV per atom.